Computed, not measured: an optimized crystal structure of CaP2WO at the GGA+U level of DFT.

Output
The total energy is -4.133 eV/atom. Its offset from the most stable computed form is 1576 meV per atom.

```
data_CaP2WO
_symmetry_space_group_name_H-M 'P 4/m m m'
_symmetry_Int_Tables_number 123
_symmetry_space_group_name_Hall '-P 4 2'
_cell_length_a 5.156
_cell_length_b 5.156
_cell_length_c 4.102
_cell_angle_alpha 90.00
_cell_angle_beta 90.00
_cell_angle_gamma 90.00
loop_
_atom_site_label
_atom_site_type_symbol
_atom_site_fract_x
_atom_site_fract_y
_atom_site_fract_z
Ca1 Ca 0.000 0.000 0.000
P1 P 0.000 0.500 0.000
W1 W 0.500 0.500 0.500
O1 O 0.000 0.000 0.500
```